Here is LiZnGeS2 after structural relaxation from Alexandria. Energies are from PBE.

- raw formation energy (eV/atom) = 0.196

Lattice parameters (Å, degrees): 4.916 4.916 4.647 90.00 90.00 90.00
Space group P4/mmm (No. 123)
Unique sites:
1 Li 0.000 0.000 0.000
2 Zn 0.500 0.500 0.500
3 Ge 0.500 0.500 0.000
4 S 0.000 0.500 0.500

Here is In2ReAs after structural relaxation from Alexandria. Energies are from PBE.

- calculated formation energy (eV/atom) = 0.728

Lattice parameters (Å, degrees): 3.485 4.562 4.887 90.00 90.00 90.00
Space group Pmmm (No. 47)
Unique sites:
1 In 0.000 0.000 0.000
2 In 0.500 0.000 0.500
3 Re 0.000 0.500 0.500
4 As 0.500 0.500 0.000

Here is Sr2InHg8 after structural relaxation from Alexandria. Energies are from PBE.

- calculated formation energy (eV/atom) = -0.292

Lattice parameters (Å, degrees): 5.377 7.267 8.258 78.89 77.48 86.69
Space group P-1 (No. 2)
Unique sites:
1 Sr 0.202 0.244 0.144
2 In 0.000 0.500 0.500
3 Hg 0.212 0.728 0.122
4 Hg 0.246 0.880 0.485
5 Hg 0.291 0.056 0.791
6 Hg 0.373 0.516 0.732

Here is BaH3Pd after structural relaxation from Alexandria. Energies are from PBE.

- uncorrected energy (eV for the cell shown) = -34.806

Lattice parameters (Å, degrees): 3.237 4.935 11.150 90.00 90.00 90.00
Space group Amm2 (No. 38)
Unique sites:
1 Ba 0.000 0.000 0.000
2 H 0.000 0.180 0.684
3 H 0.500 0.000 0.844
4 Pd 0.500 0.000 0.684

What did the third record say?
Here is Sr2InHg8 after structural relaxation from Alexandria. Energies are from PBE.

- calculated formation energy (eV/atom) = -0.292

Lattice parameters (Å, degrees): 5.377 7.267 8.258 78.89 77.48 86.69
Space group P-1 (No. 2)
Unique sites:
1 Sr 0.202 0.244 0.144
2 In 0.000 0.500 0.500
3 Hg 0.212 0.728 0.122
4 Hg 0.246 0.880 0.485
5 Hg 0.291 0.056 0.791
6 Hg 0.373 0.516 0.732

Number 4 is which compound?
BaH3Pd